The following is a DFT calculation (PBE) of a geometry-optimized Li8TlZn2 structure.

Calculated values
formation energy = -0.1506 eV per atom
excess energy over the best structure of this formula in the dataset = 0.0 meV per atom

Cell and atoms, written as POSCAR:
```
Li8TlZn2
1.0
7.5232 -2.1507 0.0000
7.5232 2.1507 0.0000
-0.8217 0.0000 5.8242
Li Tl Zn
8 1 2
direct
0.0564 0.0564 0.2316
0.1376 0.1376 0.6977
0.3121 0.3121 0.5952
0.4041 0.4041 0.0360
0.5959 0.5959 0.9640
0.6879 0.6879 0.4048
0.8624 0.8624 0.3023
0.9436 0.9436 0.7684
0.5000 0.5000 0.5000
0.2307 0.2307 0.1219
0.7693 0.7693 0.8781
```

=====

The following is a DFT calculation (PBE) of a geometry-optimized Sc2PAu2 structure.

Calculated values
formation energy = -0.6314 eV per atom
excess energy over the best structure of this formula in the dataset = 0.0 meV per atom

Cell and atoms, written as POSCAR:
```
Sc2PAu2
1.0
7.0747 0.0000 0.0000
0.0000 7.0747 0.0000
0.0000 0.0000 4.0828
Sc P Au
4 2 4
direct
0.1685 0.3315 0.0000
0.3315 0.8315 0.0000
0.6685 0.1685 0.0000
0.8315 0.6685 0.0000
0.0000 0.0000 0.0000
0.5000 0.5000 0.0000
0.1370 0.6370 0.5000
0.3630 0.1370 0.5000
0.6370 0.8630 0.5000
0.8630 0.3630 0.5000
```

=====

The following is a DFT calculation (PBE) of a geometry-optimized BaSn3Hg3 structure.

Calculated values
formation energy = -0.0515 eV per atom
excess energy over the best structure of this formula in the dataset = 153.3 meV per atom

Cell and atoms, written as POSCAR:
```
BaSn3Hg3
1.0
7.9538 0.0000 0.0000
0.0000 7.9538 0.0000
0.0000 0.0000 7.9538
Ba Sn Hg
2 6 6
direct
0.0000 0.0000 0.0000
0.5000 0.5000 0.5000
0.0000 0.2500 0.5000
0.0000 0.7500 0.5000
0.2500 0.5000 0.0000
0.5000 0.0000 0.2500
0.5000 0.0000 0.7500
0.7500 0.5000 0.0000
0.0000 0.5000 0.2500
0.0000 0.5000 0.7500
0.2500 0.0000 0.5000
0.5000 0.2500 0.0000
0.5000 0.7500 0.0000
0.7500 0.0000 0.5000
```

=====

The following is a DFT calculation (PBE) of a geometry-optimized Rb2PaHgO4 structure.

Calculated values
formation energy from raw total energies = -1893 meV/atom

Cell and atoms, written as POSCAR:
```
Rb2PaHgO4
1.0
-3.2000 3.2000 4.8935
3.2000 -3.2000 4.8935
3.2000 3.2000 -4.8935
Rb Pa Hg O
2 1 1 4
direct
0.0000 0.0000 0.0000
0.7500 0.2500 0.5000
0.5000 0.5000 0.0000
0.2500 0.7500 0.5000
0.2087 0.1849 0.6073
0.3986 0.7913 0.9762
0.5776 0.6014 0.3927
0.8151 0.4224 0.0238
```

=====

The following is a DFT calculation (PBE) of a geometry-optimized Ca3Bi2SbPd8 structure.

Calculated values
formation energy from raw total energies = -556 meV/atom

Cell and atoms, written as POSCAR:
```
Ca3Bi2SbPd8
1.0
5.6267 0.0000 0.0000
-2.8133 4.8728 0.0000
0.0000 0.0000 10.6016
Ca Bi Sb Pd
3 2 1 8
direct
0.0000 0.0000 0.0000
0.3333 0.6667 0.5660
0.6667 0.3333 0.4340
0.3333 0.6667 0.0918
0.6667 0.3333 0.9082
0.0000 0.0000 0.5000
0.1652 0.3304 0.2958
0.1652 0.8348 0.2958
0.3304 0.1652 0.7042
0.3333 0.6667 0.8318
0.6667 0.3333 0.1682
0.6696 0.8348 0.2958
0.8348 0.1652 0.7042
0.8348 0.6696 0.7042
```

=====

The following is a DFT calculation (PBE) of a geometry-optimized KYAg structure.

Calculated values
formation energy = 0.3456 eV per atom

Cell and atoms, written as POSCAR:
```
KYAg
1.0
4.5210 0.0000 0.0000
-2.2605 3.9153 0.0000
0.0000 0.0000 6.3080
K Y Ag
1 1 1
direct
0.0000 0.0000 0.0000
0.6667 0.3333 0.4779
0.3333 0.6667 0.6743
```

=====

The DOS at the Fermi energy results, record by record, are as follows: 0.3611; 0.6686; 0.7682; 0.4778; 0.6201; 1.2124 states/eV/atom.
The total DFT energy (no corrections) results, record by record, are as follows: -1.989; -5.557; -2.171; -5.838; -4.801; -3.125 eV per atom.